{
  "formula": "NaSbSCl2",
  "functional": "GGA-PBEsol",
  "state": "relaxed",
  "cell": [[-2.373, 3.840, -1.248], [-0.899, -1.913, -4.179], [-4.352, -2.076, 1.887]],
  "species": ["Na", "Sb", "Cl", "Cl", "S"],
  "frac_coords": [[0.000, 0.000, 0.000], [0.500, 0.500, 0.500], [0.500, 0.000, 0.000], [0.000, 0.500, 0.000], [0.000, 0.000, 0.500]],
  "vol_a3_per_cell": 114,
  "space_group": "P4/mmm, No. 123",
  "total_energy_ev_per_atom": -2.969
}

=====

{
  "formula": "NaSeSCl2",
  "functional": "GGA-PBEsol",
  "state": "relaxed",
  "cell": [[-2.529, 2.901, -2.818], [-3.673, -0.258, 3.032], [1.876, 4.191, 2.630]],
  "species": ["Se", "Na", "Cl", "S", "Cl"],
  "frac_coords": [[0.500, 0.500, 0.500], [0.000, 0.000, 0.000], [0.500, 0.000, 0.000], [0.000, 0.000, 0.500], [0.000, 0.500, 0.000]],
  "vol_a3_per_cell": 120,
  "space_group": "P4/mmm, No. 123",
  "total_energy_ev_per_atom": -2.326
}

=====

{
  "formula": "NaSrS2Cl",
  "functional": "GGA-PBEsol",
  "state": "relaxed",
  "cell": [[-1.072, -4.687, 2.791], [5.509, -1.044, 0.362], [0.219, 2.835, 4.845]],
  "species": ["S", "Na", "Sr", "S", "Cl"],
  "frac_coords": [[0.000, 0.500, 0.000], [0.500, 0.500, 0.500], [0.000, 0.000, 0.000], [0.000, 0.000, 0.500], [0.500, 0.000, 0.000]],
  "vol_a3_per_cell": 175,
  "space_group": "P4/mmm, No. 123",
  "total_energy_ev_per_atom": -3.536
}

=====

{
  "formula": "NaTlS2Cl",
  "functional": "GGA-PBEsol",
  "state": "relaxed",
  "cell": [[5.016, 0.000, 0.000], [0.000, 5.016, 0.000], [0.000, 0.000, 5.492]],
  "species": ["S", "Tl", "S", "Cl", "Na"],
  "frac_coords": [[0.000, 0.500, 0.000], [0.000, 0.000, 0.000], [0.500, 0.000, 0.000], [0.000, 0.000, 0.500], [0.500, 0.500, 0.500]],
  "vol_a3_per_cell": 138,
  "space_group": "P4/mmm, No. 123",
  "total_energy_ev_per_atom": -3.169
}

=====

{
  "formula": "NaZrSCl2",
  "functional": "GGA-PBEsol",
  "state": "relaxed",
  "cell": [[-3.431, 1.257, 2.723], [-2.971, -1.984, -2.829], [0.452, -4.355, 2.579]],
  "species": ["Cl", "S", "Cl", "Zr", "Na"],
  "frac_coords": [[0.000, 0.500, 0.000], [0.000, 0.000, 0.500], [0.500, 0.000, 0.000], [0.500, 0.500, 0.500], [0.000, 0.000, 0.000]],
  "vol_a3_per_cell": 106,
  "space_group": "P4/mmm, No. 123",
  "total_energy_ev_per_atom": -4.099
}

=====

{
  "formula": "NaSbCl2",
  "functional": "GGA-PBEsol",
  "state": "relaxed",
  "cell": [[5.063, 0.000, 0.000], [2.532, 4.385, 0.000], [2.532, 1.462, 4.134]],
  "species": ["Na", "Cl", "Sb", "Cl"],
  "frac_coords": [[0.000, 0.000, 0.000], [0.750, 0.750, 0.750], [0.500, 0.500, 0.500], [0.250, 0.250, 0.250]],
  "vol_a3_per_cell": 92,
  "space_group": "Fm-3m, No. 225",
  "total_energy_ev_per_atom": -3.003
}

=====

{
  "formula": "NaSbCl6",
  "functional": "GGA-PBEsol",
  "state": "relaxed",
  "cell": [[-0.994, -6.382, -0.393], [4.896, -1.015, 4.107], [-6.658, 0.539, 8.069]],
  "species": ["Cl", "Sb", "Cl", "Cl", "Na", "Cl", "Cl", "Cl", "Cl", "Cl", "Cl", "Cl", "Cl", "Cl", "Na", "Sb"],
  "frac_coords": [[0.807, 0.793, 0.500], [0.000, 0.500, 0.000], [0.354, 0.782, 0.661], [0.207, 0.807, 0.000], [0.000, 0.000, 0.750], [0.193, 0.207, 0.500], [0.646, 0.218, 0.661], [0.782, 0.646, 0.839], [0.218, 0.354, 0.161], [0.793, 0.193, 0.000], [0.218, 0.354, 0.839], [0.646, 0.218, 0.339], [0.354, 0.782, 0.339], [0.782, 0.646, 0.161], [0.000, 0.000, 0.250], [0.500, 0.000, 0.500]],
  "vol_a3_per_cell": 439,
  "space_group": "P4_2/m, No. 84",
  "total_energy_ev_per_atom": -3.223
}

=====

{
  "formula": "Na3ScCl",
  "functional": "GGA-PBEsol",
  "state": "relaxed",
  "cell": [[-0.098, 6.146, 1.531], [-1.130, -1.524, 6.044], [6.232, -0.179, 1.120]],
  "species": ["Cl", "Na", "Sc", "Na", "Na"],
  "frac_coords": [[0.500, 0.500, 0.500], [0.500, 0.000, 0.000], [0.000, 0.000, 0.000], [0.000, 0.500, 0.000], [0.000, 0.000, 0.500]],
  "vol_a3_per_cell": 254,
  "space_group": "Pm-3m, No. 221",
  "total_energy_ev_per_atom": -1.988
}

=====

What did the fifth record say?
{
  "formula": "NaZrSCl2",
  "functional": "GGA-PBEsol",
  "state": "relaxed",
  "cell": [[-3.431, 1.257, 2.723], [-2.971, -1.984, -2.829], [0.452, -4.355, 2.579]],
  "species": ["Cl", "S", "Cl", "Zr", "Na"],
  "frac_coords": [[0.000, 0.500, 0.000], [0.000, 0.000, 0.500], [0.500, 0.000, 0.000], [0.500, 0.500, 0.500], [0.000, 0.000, 0.000]],
  "vol_a3_per_cell": 106,
  "space_group": "P4/mmm, No. 123",
  "total_energy_ev_per_atom": -4.099
}

=====

Question: Number 2 is which compound?
Answer: NaSeSCl2